# 1
A plane-wave DFT calculation with GGA-PBE was carried out for RbGaPbAu3 after structural relaxation.

Energy relative to the elements = -0.19 eV/atom
Electronic total energy = -18.70 eV/f.u.

a = 7.8037 Å, b = 7.8037 Å, c = 7.3570 Å
α = 90.02°, β = 90.02°, γ = 124.13°
Closest atoms and distances in Å follow each position.
Fractional coordinates of all 12 atoms:
Rb 0.2350 0.7650 0.7500  8 Au 3.66-4.01
Rb 0.7650 0.2350 0.2500  8 Au 3.66-4.01
Ga 0.0787 0.9213 0.2500  5 Au 2.50-2.59
Ga 0.9213 0.0787 0.7500  5 Au 2.50-2.59
Pb 0.4625 0.5375 0.2500  5 Au 2.79-2.90
Pb 0.5375 0.4625 0.7500  5 Au 2.79-2.90
Au 0.2010 0.2018 0.4998  2 Ga 2.59, 2 Pb 2.90
Au 0.2018 0.2010 0.9998  2 Ga 2.59, 2 Pb 2.90
Au 0.2602 0.7398 0.2500  1 Ga 2.50, 1 Pb 2.79
Au 0.7398 0.2602 0.7500  1 Ga 2.50, 1 Pb 2.79
Au 0.7982 0.7990 0.0002  2 Ga 2.59, 2 Pb 2.90
Au 0.7990 0.7982 0.5002  2 Ga 2.59, 2 Pb 2.90

# 2
A plane-wave DFT calculation with GGA-PBE was carried out for RbGa2PbAu5 after structural relaxation.

Energy relative to the elements = -0.13 eV/atom
Electronic total energy = -28.27 eV/f.u.

a = 5.0400 Å, b = 5.0400 Å, c = 9.5020 Å
α = 90.00°, β = 90.00°, γ = 90.00°
Closest atoms and distances in Å follow each position.
Fractional coordinates of all 9 atoms:
Rb 0.0000 0.0000 0.0000  12 Au 3.56-3.99
Ga 0.5000 0.5000 0.2680  5 Au 2.55-2.58
Ga 0.5000 0.5000 0.7320  5 Au 2.55-2.58
Pb 0.0000 0.0000 0.5000  8 Au 3.02
Au 0.0000 0.5000 0.3252  2 Ga 2.58
Au 0.0000 0.5000 0.6748  2 Ga 2.58
Au 0.5000 0.0000 0.3252  2 Ga 2.58
Au 0.5000 0.0000 0.6748  2 Ga 2.58
Au 0.5000 0.5000 0.0000  2 Ga 2.55

# 3
A plane-wave DFT calculation with GGA-PBE was carried out for GaSbPbAu2 after structural relaxation.

Electronic total energy = -17.91 eV/f.u.

a = 7.7229 Å, b = 7.7229 Å, c = 8.5529 Å
α = 116.86°, β = 116.86°, γ = 32.91°
Closest atoms and distances in Å follow each position.
Fractional coordinates of all 10 atoms:
Ga 0.0544 0.0544 0.2412  4 Au 2.63-2.69
Ga 0.9456 0.9456 0.7588  4 Au 2.63-2.69
Sb 0.3709 0.3709 0.1881  5 Au 2.83-3.08
Sb 0.6291 0.6291 0.8119  5 Au 2.83-3.08
Pb 0.2544 0.2544 0.6789  5 Au 3.05-3.24, 2 Ga 3.38, 2 Sb 3.39
Pb 0.7456 0.7456 0.3211  5 Au 3.05-3.24, 2 Ga 3.38, 2 Sb 3.39
Au 0.1356 0.1356 0.0261  2 Ga 2.63-2.66, 2 Sb 2.83
Au 0.4179 0.4179 0.5575  2 Ga 2.69, 2 Sb 2.85-2.90
Au 0.5821 0.5821 0.4425  2 Ga 2.69, 2 Sb 2.85-2.90
Au 0.8644 0.8644 0.9739  2 Ga 2.63-2.66, 2 Sb 2.83

# 4
A plane-wave DFT calculation with GGA-PBE was carried out for GaSb2Pb3Au6 after structural relaxation.

Electronic total energy = -42.58 eV/f.u.

a = 5.9172 Å, b = 5.9172 Å, c = 9.6588 Å
α = 90.00°, β = 90.00°, γ = 120.00°
Closest atoms and distances in Å follow each position.
Fractional coordinates of all 12 atoms:
Ga 0.0000 0.0000 0.0000  6 Au 2.66
Sb 0.3333 0.6667 0.5576  3 Au 2.81
Sb 0.6667 0.3333 0.4424  3 Au 2.81
Pb 0.0000 0.0000 0.5000  6 Au 3.27, 6 Sb 3.46
Pb 0.3333 0.6667 0.0883  9 Au 3.19-3.36, 3 Ga 3.52
Pb 0.6667 0.3333 0.9117  9 Au 3.19-3.36, 3 Ga 3.52
Au 0.1665 0.3331 0.7883  1 Ga 2.66, 1 Sb 2.81, 4 Au 2.96
Au 0.1665 0.8335 0.7883  1 Ga 2.66, 1 Sb 2.81, 4 Au 2.96
Au 0.3331 0.1665 0.2117  1 Ga 2.66, 1 Sb 2.81, 4 Au 2.96
Au 0.6669 0.8335 0.7883  1 Ga 2.66, 1 Sb 2.81, 4 Au 2.96
Au 0.8335 0.1665 0.2117  1 Ga 2.66, 1 Sb 2.81, 4 Au 2.96
Au 0.8335 0.6669 0.2117  1 Ga 2.66, 1 Sb 2.81, 4 Au 2.96

# 5
A plane-wave DFT calculation with GGA-PBE was carried out for GaSbPb2Au6 after structural relaxation.

Electronic total energy = -34.79 eV/f.u.

a = 5.7140 Å, b = 9.0880 Å, c = 9.2546 Å
α = 90.00°, β = 90.00°, γ = 90.00°
Closest atoms and distances in Å follow each position.
Fractional coordinates of all 20 atoms:
Ga 0.2500 0.2500 0.2480  6 Au 2.53-2.67
Ga 0.7500 0.7500 0.7520  6 Au 2.53-2.67
Sb 0.2500 0.7500 0.2299  6 Au 2.73-3.00
Sb 0.7500 0.2500 0.7701  6 Au 2.73-3.00
Pb 0.2500 0.5103 0.7721  9 Au 3.24-3.59, 2 Ga 3.60
Pb 0.2500 0.9897 0.7721  9 Au 3.24-3.59, 2 Ga 3.60
Pb 0.7500 0.0103 0.2279  9 Au 3.24-3.59, 2 Ga 3.60
Pb 0.7500 0.4897 0.2279  9 Au 3.24-3.59, 2 Ga 3.60
Au 0.0035 0.2500 0.0207  1 Ga 2.53, 1 Sb 2.73, 1 Au 2.82
Au 0.0039 0.7500 0.5161  1 Ga 2.62, 6 Au 2.81-2.90
Au 0.2500 0.5019 0.3959  1 Ga 2.67, 1 Sb 2.73, 4 Au 2.83-2.88
Au 0.2500 0.9981 0.3959  1 Ga 2.67, 1 Sb 2.73, 4 Au 2.83-2.88
Au 0.4965 0.2500 0.0207  1 Ga 2.53, 1 Sb 2.73, 1 Au 2.82
Au 0.4961 0.7500 0.5161  1 Ga 2.62, 6 Au 2.81-2.90
Au 0.5039 0.2500 0.4839  1 Ga 2.62, 6 Au 2.81-2.90
Au 0.5035 0.7500 0.9793  1 Ga 2.53, 1 Sb 2.73, 1 Au 2.82
Au 0.7500 0.0019 0.6041  1 Ga 2.67, 1 Sb 2.73, 4 Au 2.83-2.88
Au 0.7500 0.4981 0.6041  1 Ga 2.67, 1 Sb 2.73, 4 Au 2.83-2.88
Au 0.9961 0.2500 0.4839  1 Ga 2.62, 6 Au 2.81-2.90
Au 0.9965 0.7500 0.9793  1 Ga 2.53, 1 Sb 2.73, 1 Au 2.82

# 6
A plane-wave DFT calculation with GGA-PBE was carried out for GaSiPb2Au6 after structural relaxation.

Electronic total energy = -36.33 eV/f.u.

a = 5.6955 Å, b = 9.0671 Å, c = 8.6649 Å
α = 90.00°, β = 90.00°, γ = 90.00°
Closest atoms and distances in Å follow each position.
Fractional coordinates of all 20 atoms:
Ga 0.2500 0.2500 0.2281  6 Au 2.59-2.71
Ga 0.7500 0.7500 0.7719  6 Au 2.59-2.71
Si 0.2500 0.7500 0.2547  6 Au 2.47-2.61
Si 0.7500 0.2500 0.7453  6 Au 2.47-2.61
Pb 0.2500 0.5128 0.7873  8 Au 3.18-3.56
Pb 0.2500 0.9872 0.7873  8 Au 3.18-3.56
Pb 0.7500 0.0128 0.2127  8 Au 3.18-3.56
Pb 0.7500 0.4872 0.2127  8 Au 3.18-3.56
Au 0.0024 0.2500 0.4945  1 Si 2.61, 1 Ga 2.71, 6 Au 2.82-2.89
Au 0.0015 0.2500 0.9780  1 Si 2.47, 1 Ga 2.59
Au 0.2500 0.5028 0.3750  1 Si 2.47, 1 Ga 2.62
Au 0.2500 0.9972 0.3750  1 Si 2.47, 1 Ga 2.62
Au 0.4976 0.2500 0.4945  1 Si 2.61, 1 Ga 2.71, 6 Au 2.82-2.89
Au 0.4985 0.2500 0.9780  1 Si 2.47, 1 Ga 2.59
Au 0.5015 0.7500 0.0220  1 Si 2.47, 1 Ga 2.59
Au 0.5024 0.7500 0.5055  1 Si 2.61, 1 Ga 2.71, 6 Au 2.82-2.89
Au 0.7500 0.0028 0.6250  1 Si 2.47, 1 Ga 2.62
Au 0.7500 0.4972 0.6250  1 Si 2.47, 1 Ga 2.62
Au 0.9985 0.7500 0.0220  1 Si 2.47, 1 Ga 2.59
Au 0.9976 0.7500 0.5055  1 Si 2.61, 1 Ga 2.71, 6 Au 2.82-2.89

# 7
A plane-wave DFT calculation with GGA-PBE was carried out for SmGa2PbAu5 after structural relaxation.

Energy relative to the elements = -0.36 eV/atom
Electronic total energy = -34.13 eV/f.u.

a = 4.5639 Å, b = 4.5639 Å, c = 8.9954 Å
α = 90.00°, β = 90.00°, γ = 90.00°
Closest atoms and distances in Å follow each position.
Fractional coordinates of all 9 atoms:
Sm 0.0000 0.0000 0.0000  8 Au 3.31, 8 Ga 3.45
Ga 0.5000 0.5000 0.1367  1 Ga 2.46, 4 Au 2.57
Ga 0.5000 0.5000 0.8633  1 Ga 2.46, 4 Au 2.57
Pb 0.0000 0.0000 0.5000  12 Au 3.10-3.23
Au 0.0000 0.5000 0.2672  2 Ga 2.57
Au 0.0000 0.5000 0.7328  2 Ga 2.57
Au 0.5000 0.0000 0.2672  2 Ga 2.57
Au 0.5000 0.0000 0.7328  2 Ga 2.57
Au 0.5000 0.5000 0.5000  8 Au 3.10, 4 Pb 3.23, 2 Ga 3.27

# 8
A plane-wave DFT calculation with GGA-PBE was carried out for SmGaPbAu after structural relaxation.

Energy relative to the elements = -0.40 eV/atom
Electronic total energy = -16.32 eV/f.u.

a = 5.1477 Å, b = 5.1477 Å, c = 5.1477 Å
α = 60.00°, β = 60.00°, γ = 60.00°
Closest atoms and distances in Å follow each position.
Fractional coordinates of all 4 atoms:
Sm 0.0000 0.0000 0.0000  4 Au 3.15, 4 Ga 3.15
Ga 0.2500 0.2500 0.2500  4 Pb 3.15, 4 Sm 3.15
Pb 0.5000 0.5000 0.5000  4 Au 3.15, 4 Ga 3.15
Au 0.7500 0.7500 0.7500  4 Pb 3.15, 4 Sm 3.15

# 9
A plane-wave DFT calculation with GGA-PBE was carried out for GaSnPbAu2 after structural relaxation.

Energy relative to the elements = -0.13 eV/atom
Electronic total energy = -17.95 eV/f.u.

a = 7.8071 Å, b = 7.8071 Å, c = 8.2988 Å
α = 117.79°, β = 117.79°, γ = 33.52°
Closest atoms and distances in Å follow each position.
Fractional coordinates of all 10 atoms:
Ga 0.0530 0.0530 0.2416  4 Au 2.67-2.70
Ga 0.9470 0.9470 0.7584  4 Au 2.67-2.70
Sn 0.3737 0.3737 0.1827  5 Au 2.80-3.06
Sn 0.6263 0.6263 0.8173  5 Au 2.80-3.06
Pb 0.2526 0.2526 0.6816  5 Au 3.04-3.23
Pb 0.7474 0.7474 0.3184  5 Au 3.04-3.23
Au 0.1415 0.1415 0.0298  2 Ga 2.67, 2 Sn 2.80
Au 0.4140 0.4140 0.5585  2 Ga 2.70, 2 Sn 2.84-2.87
Au 0.5860 0.5860 0.4415  2 Ga 2.70, 2 Sn 2.84-2.87
Au 0.8585 0.8585 0.9702  2 Ga 2.67, 2 Sn 2.80

# 10
A plane-wave DFT calculation with GGA-PBE was carried out for GaSnPbAu after structural relaxation.

Energy relative to the elements = 0.01 eV/atom
Electronic total energy = -13.96 eV/f.u.

a = 5.1224 Å, b = 5.1224 Å, c = 5.1224 Å
α = 60.00°, β = 60.00°, γ = 60.00°
Closest atoms and distances in Å follow each position.
Fractional coordinates of all 4 atoms:
Ga 0.0000 0.0000 0.0000  4 Sn 3.14, 4 Pb 3.14
Sn 0.7500 0.7500 0.7500  4 Au 3.14, 4 Ga 3.14
Pb 0.2500 0.2500 0.2500  4 Au 3.14, 4 Ga 3.14
Au 0.5000 0.5000 0.5000  4 Sn 3.14, 4 Pb 3.14